A plane-wave DFT calculation with PBE+U was carried out for a geometry-optimized LiAcVO5 structure.

## Properties
The calculation puts the theoretical density at 4.4 g/cm³. The calculated total energy comes out at -6.969 eV/atom.

```
LiAcVO5
1.0
5.786 0.304 -0.073
-1.399 5.623 -0.073
-1.914 -2.585 8.372
Li Ac V O
2 2 2 10
Direct
0.358 0.642 0.250
0.642 0.358 0.750
0.000 0.000 0.500
0.000 0.000 0.000
0.664 0.336 0.250
0.336 0.664 0.750
0.141 0.859 0.250
0.859 0.141 0.750
0.924 0.363 0.183
0.076 0.637 0.817
0.637 0.076 0.317
0.363 0.924 0.683
0.688 0.601 0.400
0.312 0.399 0.600
0.399 0.312 0.100
0.601 0.688 0.900
```